6
Lattice="4.9365 0.0000 0.0000 0.0000 4.9732 0.0000 0.0000 0.0000 4.3049" Properties=species:S:1:pos:R:3 comment="GGA-PBE LiYC, relaxed" delta_e_f_kj_per_mol_fu=25 total_energy_ev_per_atom=-5.7810 pbc="T T T"
Li 1.2341 1.2433 0.1795
Li 3.7024 3.7299 4.1254
Y 1.2341 3.7299 2.1896
Y 3.7024 1.2433 2.1153
C 1.2341 1.2433 2.4728
C 3.7024 3.7299 1.8321